DFT (GGA-PBE) results for OsSeCl3 after structural relaxation.

```
data_OsSeCl3
_chemical_formula_sum 'Os1 Se1 Cl3'
_cell_length_a 4.7479
_cell_length_b 4.7479
_cell_length_c 4.7479
_cell_angle_alpha 90.00
_cell_angle_beta 90.00
_cell_angle_gamma 90.00
_symmetry_space_group_name_H-M 'P m -3 m'
_symmetry_Int_Tables_number 221
_symmetry_space_group_name_Hall '-P 4 2 3'
loop_
_atom_site_label
_atom_site_type_symbol
_atom_site_fract_x
_atom_site_fract_y
_atom_site_fract_z
Os1 Os 0.0000 0.0000 0.0000
Se1 Se 0.5000 0.5000 0.5000
Cl1 Cl 0.0000 0.0000 0.5000
```

## Properties
- VASP energy (eV/atom) = -3.4585
- crystal system = cubic
- energy above the most stable polymorph in this dataset (kJ/mol of atoms) = 86.6
- DOS at the Fermi energy (states/eV per cell) = 8.6
- formation energy from raw total energies (eV per atom) = 0.592



DFT (GGA-PBE) results for Sc2MnAu after structural relaxation.

```
data_Sc2MnAu
_chemical_formula_sum 'Sc2 Mn1 Au1'
_cell_length_a 3.2783
_cell_length_b 3.1897
_cell_length_c 6.8984
_cell_angle_alpha 90.00
_cell_angle_beta 90.06
_cell_angle_gamma 90.00
_symmetry_space_group_name_H-M 'P 1 2/m 1'
_symmetry_Int_Tables_number 10
loop_
_symmetry_equiv_pos_as_xyz
'x,y,z'
'-x,-y,-z'
'-x,y,-z'
'x,-y,z'
loop_
_atom_site_label
_atom_site_type_symbol
_atom_site_fract_x
_atom_site_fract_y
_atom_site_fract_z
Sc1 Sc 0.9998 0.0000 0.2301
Mn1 Mn 0.5000 0.5000 0.0000
Au1 Au 0.5000 0.5000 0.5000
```

## Properties
- VASP energy (eV/atom) = -6.6484
- crystal system = monoclinic
- DOS at the Fermi energy (states/eV per cell) = 3.8
- energy of formation (eV per atom) = -0.37



DFT (GGA-PBE) results for Li2SmTl3 after structural relaxation.

```
data_Li2SmTl3
_chemical_formula_sum 'Li4 Sm2 Tl6'
_cell_length_a 4.9752
_cell_length_b 4.9752
_cell_length_c 13.6659
_cell_angle_alpha 90.00
_cell_angle_beta 90.00
_cell_angle_gamma 120.00
_symmetry_space_group_name_H-M 'P 63/m m c'
_symmetry_Int_Tables_number 194
_symmetry_space_group_name_Hall '-P 6c 2c'
loop_
_atom_site_label
_atom_site_type_symbol
_atom_site_fract_x
_atom_site_fract_y
_atom_site_fract_z
Li1 Li 0.3333 0.6667 0.0942
Sm1 Sm 0.0000 0.0000 0.2500
Tl1 Tl 0.0000 0.0000 0.0000
Tl2 Tl 0.3333 0.6667 0.6331
```

## Properties
- VASP energy (eV/atom) = -2.8430
- crystal system = hexagonal
- DOS at the Fermi energy (states/eV per cell) = 5.7
- energy of formation (eV per atom) = -0.24